# CoNi2N2

Crystalline CoNi2N2 at its relaxed geometry (PBE, Alexandria via LeMat-Bulk).

Calculated values
Its crystal system is tetragonal. Its uncorrected formation energy is 1.90 eV/f.u.

Geometry as CIF:
```
data_CoNi2N2
_chemical_formula_sum 'Co1 Ni2 N2'
_space_group_name_H-M_alt 'P 1'
_space_group_IT_number 1
_cell_length_a 5.966
_cell_length_b 5.966
_cell_length_c 5.966
_cell_angle_alpha 152.43
_cell_angle_beta 152.43
_cell_angle_gamma 39.38
loop_
_space_group_symop_operation_xyz
'x,y,z'
loop_
_atom_site_label
_atom_site_type_symbol
_atom_site_fract_x
_atom_site_fract_y
_atom_site_fract_z
Co1 Co 0.500 0.500 0.000
Ni1 Ni 0.845 0.845 0.000
Ni2 Ni 0.155 0.155 0.000
N1 N 0.339 0.339 0.000
N2 N 0.661 0.661 0.000
```

# CoNi3N

Crystalline CoNi3N at its relaxed geometry (PBE, Alexandria via LeMat-Bulk).

Calculated values
Its polymorph energy (0 for the lowest one) is 0 meV per atom. Its crystal system is cubic. Its uncorrected formation energy is 0.81 eV/f.u.

Geometry as CIF:
```
data_CoNi3N
_chemical_formula_sum 'Co1 Ni3 N1'
_space_group_name_H-M_alt 'P 1'
_space_group_IT_number 1
_cell_length_a 3.735
_cell_length_b 3.735
_cell_length_c 3.735
_cell_angle_alpha 90.00
_cell_angle_beta 90.00
_cell_angle_gamma 90.00
loop_
_space_group_symop_operation_xyz
'x,y,z'
loop_
_atom_site_label
_atom_site_type_symbol
_atom_site_fract_x
_atom_site_fract_y
_atom_site_fract_z
Ni1 Ni 0.000 0.500 0.000
Ni2 Ni 0.000 0.000 0.500
Ni3 Ni 0.500 0.000 0.000
Co1 Co 0.500 0.500 0.500
N1 N 0.000 0.000 0.000
```